[1]
DFT (PBE) results for InGaAg4 after structural relaxation.

Summary:
formation energy from the elements: 0.0 eV per formula unit
energy: -2.86 eV per atom
offset from the most stable computed form: 0 meV/atom
total magnetic moment: 0.00 μB per atom
space group: C2/c (15)

Structure (POSCAR):
```
InGaAg4
1.0
4.337 -5.502 0.000
4.337 5.502 0.000
-0.064 0.000 4.717
In Ga Ag
2 2 8
direct
0.175 0.825 0.750
0.825 0.175 0.250
0.440 0.560 0.750
0.560 0.440 0.250
0.099 0.244 0.757
0.167 0.503 0.261
0.244 0.099 0.257
0.497 0.833 0.239
0.503 0.167 0.761
0.756 0.901 0.743
0.833 0.497 0.739
0.901 0.756 0.243
```

[2]
DFT (PBE) results for MnBe2As2 after structural relaxation.

Summary:
formation energy from the elements: 1.3 eV per formula unit
energy: -4.93 eV per atom
total magnetic moment: 0.63 μB per atom
space group: P4/mbm (127)

Structure (POSCAR):
```
MnBe2As2
1.0
6.366 0.000 0.000
0.000 6.366 0.000
0.000 0.000 3.258
Mn Be As
2 4 4
direct
0.000 0.000 0.000
0.500 0.500 0.000
0.120 0.380 0.000
0.380 0.880 0.000
0.620 0.120 0.000
0.880 0.620 0.000
0.183 0.683 0.500
0.317 0.183 0.500
0.683 0.817 0.500
0.817 0.317 0.500
```

[3]
DFT (PBE) results for CeTm2Mg after structural relaxation.

Summary:
formation energy from the elements: 0.3 eV per formula unit
energy: -4.04 eV per atom
offset from the most stable computed form: 70 meV/atom
total magnetic moment: 0.40 μB per atom
space group: P4/mmm (123)

Structure (POSCAR):
```
CeTm2Mg
1.0
4.870 0.000 0.000
0.000 4.870 0.000
0.000 0.000 4.837
Ce Tm Mg
1 2 1
direct
0.000 0.000 0.000
0.000 0.500 0.500
0.500 0.000 0.500
0.500 0.500 0.000
```

[4]
DFT (PBE) results for Na2CaMgP2O8 after structural relaxation.

Summary:
energy: -6.61 eV per atom
total magnetic moment: 0.00 μB per atom
space group: P2_1/c (14)
energy relative to the elements, uncorrected: -2.558 eV/atom

Structure (POSCAR):
```
Na2CaMgP2O8
1.0
9.219 0.000 0.000
0.000 5.231 0.000
-0.447 0.000 13.629
Na Ca Mg P O
8 4 4 8 32
direct
0.079 0.220 0.381
0.079 0.280 0.881
0.411 0.218 0.087
0.411 0.282 0.587
0.589 0.718 0.413
0.589 0.782 0.913
0.921 0.720 0.119
0.921 0.780 0.619
0.284 0.687 0.250
0.284 0.813 0.750
0.716 0.187 0.250
0.716 0.313 0.750
0.243 0.737 0.995
0.243 0.763 0.495
0.757 0.237 0.505
0.757 0.263 0.005
0.090 0.225 0.122
0.090 0.275 0.622
0.423 0.229 0.365
0.423 0.271 0.865
0.577 0.729 0.135
0.577 0.771 0.635
0.910 0.725 0.378
0.910 0.775 0.878
0.075 0.686 0.399
0.075 0.814 0.899
0.114 0.144 0.723
0.114 0.356 0.223
0.156 0.102 0.543
0.156 0.398 0.043
0.168 0.544 0.619
0.168 0.956 0.119
0.327 0.512 0.878
0.327 0.988 0.378
0.356 0.038 0.919
0.356 0.462 0.419
0.422 0.679 0.090
0.422 0.821 0.590
0.436 0.202 0.756
0.436 0.298 0.256
0.564 0.702 0.744
0.564 0.798 0.244
0.578 0.179 0.410
0.578 0.321 0.910
0.644 0.538 0.581
0.644 0.962 0.081
0.673 0.012 0.622
0.673 0.488 0.122
0.832 0.044 0.881
0.832 0.456 0.381
0.844 0.602 0.957
0.844 0.898 0.457
0.886 0.644 0.777
0.886 0.856 0.277
0.925 0.186 0.101
0.925 0.314 0.601
```

[5]
DFT (PBE) results for BaNiP2 after structural relaxation.

Summary:
formation energy from the elements: 1.6 eV per formula unit
energy: -4.23 eV per atom
total magnetic moment: 0.00 μB per atom
space group: I-4m2 (119)

Structure (POSCAR):
```
BaNiP2
1.0
-2.261 2.261 4.064
2.261 -2.261 4.064
2.261 2.261 -4.064
Ba Ni P
1 1 2
direct
0.000 0.000 0.000
0.750 0.250 0.500
0.250 0.750 0.500
0.500 0.500 0.000
```

[6]
DFT (PBE) results for ZnAgSeBr2 after structural relaxation.

Summary:
energy: -1.89 eV per atom
offset from the most stable computed form: 248 meV/atom
total magnetic moment: 0.00 μB per atom
space group: P4/mmm (123)
energy relative to the elements, uncorrected: 0.301 eV/atom

Structure (POSCAR):
```
ZnAgSeBr2
1.0
5.162 0.000 0.000
0.000 5.162 0.000
0.000 0.000 5.383
Zn Ag Se Br
1 1 1 2
direct
0.000 0.000 0.000
0.500 0.500 0.500
0.500 0.500 0.000
0.000 0.500 0.500
0.500 0.000 0.500
```

[7]
DFT (PBE) results for Sr3GaCu after structural relaxation.

Summary:
formation energy from the elements: 0.5 eV per formula unit
energy: -2.34 eV per atom
offset from the most stable computed form: 0 meV/atom
total magnetic moment: 0.00 μB per atom
space group: Pm-3m (221)

Structure (POSCAR):
```
Sr3GaCu
1.0
5.831 0.000 0.000
0.000 5.831 0.000
0.000 0.000 5.831
Sr Ga Cu
3 1 1
direct
0.000 0.000 0.500
0.000 0.500 0.000
0.500 0.000 0.000
0.500 0.500 0.500
0.000 0.000 0.000
```

[8]
DFT (PBE) results for MnInAgPd after structural relaxation.

Summary:
formation energy from the elements: -0.5 eV per formula unit
energy: -5.11 eV per atom
total magnetic moment: 1.05 μB per atom
space group: F-43m (216)

Structure (POSCAR):
```
MnInAgPd
1.0
0.000 3.257 3.257
3.257 0.000 3.257
3.257 3.257 0.000
Mn In Ag Pd
1 1 1 1
direct
0.000 0.000 0.000
0.500 0.500 0.500
0.750 0.750 0.750
0.250 0.250 0.250
```

[9]
DFT (PBE) results for SrNpTlBr6 after structural relaxation.

Summary:
energy: -4.49 eV per atom
total magnetic moment: 0.44 μB per atom
space group: P-31c (163)
energy relative to the elements, uncorrected: -1.488 eV/atom

Structure (POSCAR):
```
SrNpTlBr6
1.0
7.799 0.000 0.000
-3.899 6.754 0.000
0.000 0.000 14.071
Sr Np Tl Br
2 2 2 12
direct
0.333 0.667 0.250
0.667 0.333 0.750
0.333 0.667 0.750
0.667 0.333 0.250
0.000 0.000 0.000
0.000 0.000 0.500
0.016 0.372 0.633
0.016 0.645 0.867
0.355 0.372 0.867
0.355 0.984 0.633
0.372 0.016 0.133
0.372 0.355 0.367
0.628 0.645 0.633
0.628 0.984 0.867
0.645 0.016 0.367
0.645 0.628 0.133
0.984 0.355 0.133
0.984 0.628 0.367
```

[10]
DFT (PBE) results for SbRhAu2Cl after structural relaxation.

Summary:
energy: -3.15 eV per atom
total magnetic moment: 0.00 μB per atom
space group: P4/mmm (123)
energy relative to the elements, uncorrected: 0.830 eV/atom

Structure (POSCAR):
```
SbRhAu2Cl
1.0
4.950 0.000 0.000
0.000 4.950 0.000
0.000 0.000 4.499
Sb Rh Au Cl
1 1 2 1
direct
0.000 0.000 0.000
0.500 0.500 0.000
0.000 0.500 0.500
0.500 0.000 0.500
0.500 0.500 0.500
```

[11]
DFT (PBE) results for CaDy2Se4 after structural relaxation.

Summary:
energy: -5.51 eV per atom
offset from the most stable computed form: 0 meV/atom
total magnetic moment: 0.00 μB per atom
space group: Imma (74)
energy relative to the elements, uncorrected: -1.916 eV/atom

Structure (POSCAR):
```
CaDy2Se4
1.0
-4.158 4.184 5.764
4.158 -4.184 5.764
4.158 4.184 -5.764
Ca Dy Se
2 4 8
direct
0.000 0.000 0.000
0.500 0.000 0.500
0.000 0.500 0.500
0.500 0.000 0.000
0.500 0.500 0.000
0.500 0.500 0.500
0.249 0.257 0.508
0.249 0.741 0.992
0.260 0.746 0.513
0.267 0.254 0.013
0.733 0.746 0.987
0.740 0.254 0.487
0.751 0.259 0.008
0.751 0.743 0.492
```

[12]
DFT (PBE) results for Y2PN after structural relaxation.

Summary:
energy: -8.18 eV per atom
offset from the most stable computed form: 0 meV/atom
total magnetic moment: 0.00 μB per atom
space group: R-3m (166)
energy relative to the elements, uncorrected: -1.510 eV/atom

Structure (POSCAR):
```
Y2PN
1.0
1.854 1.070 6.238
-1.854 1.070 6.238
0.000 -2.141 6.238
Y P N
2 1 1
direct
0.240 0.240 0.240
0.760 0.760 0.760
0.000 0.000 0.000
0.500 0.500 0.500
```